This record from Alexandria describes Pm3SmTm2S6 after structural relaxation. The functional is PBE.

abc: 6.8491 6.8491 6.9142
angles: 99.48 99.48 120.15
Positions (direct):
Pm  0.1620  0.8380  0.5000
Pm  0.8380  0.1620  0.5000
Pm  0.5000  0.5000  0.5000
Sm  0.0000  0.0000  0.0000
Tm  0.3338  0.6662  0.0000
Tm  0.6662  0.3338  0.0000
S  0.9209  0.5776  0.7621
S  0.7349  0.7349  0.2342
S  0.0791  0.4224  0.2379
S  0.5776  0.9209  0.7621
S  0.2651  0.2651  0.7658
S  0.4224  0.0791  0.2379

Its formation energy (no corrections) is -2.00 eV/atom. As for the symmetry: C2/m, No. 12.


This record from Alexandria describes La4TbP5 after structural relaxation. The functional is PBE.

abc: 5.9852 7.3241 7.3241
angles: 80.39 65.88 65.88
Positions (direct):
La  0.4023  0.3978  0.7996
La  0.8001  0.7996  0.6022
La  0.2020  0.2004  0.3978
La  0.5997  0.6022  0.2004
Tb  0.0011  0.0000  0.0000
P  0.9036  0.3906  0.8043
P  0.2942  0.8043  0.6094
P  0.7079  0.1957  0.3906
P  0.0985  0.6094  0.1957
P  0.5010  0.0000  0.0000

The formation energy from the elements is -1569 meV per atom. As for the symmetry: I4/m, No. 87.